VASP calculation (PBEsol) on a geometry-optimized BeCd3Te structure.

Structure (POSCAR):
```
BeCd3Te
1.0
4.8062 0.0000 0.0000
0.0000 4.8062 0.0000
0.0000 0.0000 4.8062
Te Cd Be
1 3 1
direct
0.5000 0.5000 0.5000 Te
0.0000 0.0000 0.5000 Cd
0.5000 0.0000 0.0000 Cd
0.0000 0.5000 0.0000 Cd
0.0000 0.0000 0.0000 Be
```

Results
The raw formation energy is 0.322 eV per atom. The density of states at the Fermi level is 3.1 states/eV/f.u. The space group is Pm-3m, No. 221. The spin magnetization is 0.0 Bohr magnetons per cell. The energy above the most stable polymorph in this dataset is 0.00 eV per formula unit.

VASP calculation (PBEsol) on a geometry-optimized BeCdTe2 structure.

Structure (POSCAR):
```
BeCdTe2
1.0
6.0984 0.0000 0.0000
0.0000 6.0984 0.0000
-3.0492 -3.0492 5.8716
Be Te Cd
2 4 2
direct
0.5000 0.5000 0.0000 Be
0.7500 0.2500 0.5000 Be
0.4256 0.8750 0.2500 Te
0.1250 0.1756 0.7500 Te
0.8244 0.3750 0.2500 Te
0.6250 0.5744 0.7500 Te
0.0000 0.0000 0.0000 Cd
0.2500 0.7500 0.5000 Cd
```

Results
The raw formation energy is -0.346 eV per atom. The density of states at the Fermi level is 0.0 states/eV/f.u. The space group is I-42d, No. 122. The spin magnetization is 0.0 Bohr magnetons per cell. The energy above the most stable polymorph in this dataset is 0.00 eV per formula unit.

VASP calculation (PBEsol) on a geometry-optimized Ti2Be2Cd structure.

Structure (POSCAR):
```
Ti2Be2Cd
1.0
3.5120 0.0000 0.0000
0.0000 6.2319 0.0000
0.0000 0.0000 6.2319
Ti Be Cd
4 4 2
direct
0.5000 0.3357 0.1643 Ti
0.5000 0.1643 0.6643 Ti
0.5000 0.8357 0.3357 Ti
0.5000 0.6643 0.8357 Ti
0.0000 0.8771 0.6229 Be
0.0000 0.3771 0.8771 Be
0.0000 0.1229 0.3771 Be
0.0000 0.6229 0.1229 Be
0.0000 0.5000 0.5000 Cd
0.0000 0.0000 0.0000 Cd
```

Results
The density of states at the Fermi level is 2.4 states/eV/f.u. As for the energy of formation from the pure elements: -95 meV/atom. The space group is P4/mbm, No. 127. The spin magnetization is 0.0 Bohr magnetons per cell.

VASP calculation (PBEsol) on a geometry-optimized BeTl2Cd structure.

Structure (POSCAR):
```
BeTl2Cd
1.0
4.2735 0.0000 -0.0124
0.0000 3.1751 0.0000
-2.1119 0.0000 6.3337
Tl Cd Be
2 1 1
direct
0.0569 0.0000 0.9909 Tl
0.7443 0.5000 0.3627 Tl
0.4318 0.5000 0.7389 Cd
0.2670 0.0000 0.4074 Be
```

Results
The density of states at the Fermi level is 1.3 states/eV/f.u. As for the energy of formation from the pure elements: 327 meV/atom. The space group is Pm, No. 6. The spin magnetization is 0.0 Bohr magnetons per cell. The energy above the most stable polymorph in this dataset is 0.00 eV per formula unit.

VASP calculation (PBEsol) on a geometry-optimized BeTl2Cd structure.

Structure (POSCAR):
```
BeTl2Cd
1.0
3.2965 0.0006 0.0000
-0.7185 3.2172 0.0000
0.0000 0.0000 8.1351
Tl Be Cd
2 1 1
direct
0.0000 0.0000 0.7117 Tl
0.0000 0.0000 0.2883 Tl
0.5000 0.5000 0.5000 Be
0.5000 0.5000 0.0000 Cd
```

Results
The density of states at the Fermi level is 1.6 states/eV/f.u. As for the energy of formation from the pure elements: 428 meV/atom. The space group is Cmmm, No. 65. The spin magnetization is 0.0 Bohr magnetons per cell. The energy above the most stable polymorph in this dataset is 0.40 eV per formula unit.

VASP calculation (PBEsol) on a geometry-optimized BeCd4W structure.

Structure (POSCAR):
```
BeCd4W
1.0
-5.2490 0.0644 1.3626
-2.0338 -3.9233 3.1439
-1.4631 1.1008 5.1050
W Cd Be
1 4 1
direct
0.7500 0.7500 0.7500 W
0.3752 0.8743 0.3752 Cd
0.3752 0.3752 0.3752 Cd
0.8743 0.3752 0.3752 Cd
0.3752 0.3752 0.8743 Cd
0.0000 0.0000 0.0000 Be
```

Results
The density of states at the Fermi level is 3.2 states/eV/f.u. As for the energy of formation from the pure elements: 1011 meV/atom. The space group is F-43m, No. 216. The spin magnetization is 2.7 Bohr magnetons per cell.

no.,ρ (g cm⁻³)
1,7.09
2,5.73
3,5.51
4,10.25
5,10.20
6,9.46